Here is a relaxed TaCuSbAu crystal from OQMD via LeMat-Bulk. Energies are from GGA-PBE.

Cell: 6.614 6.614 6.614 Å, 90.00 90.00 90.00°
Element x y z (fractional)
Ta 0.000 0.000 0.000
Ta 0.000 0.500 0.500
Ta 0.500 0.000 0.500
Ta 0.500 0.500 0.000
Cu 0.000 0.000 0.500
Cu 0.000 0.500 0.000
Cu 0.500 0.000 0.000
Cu 0.500 0.500 0.500
Sb 0.250 0.250 0.250
Sb 0.250 0.750 0.750
Sb 0.750 0.250 0.750
Sb 0.750 0.750 0.250
Au 0.250 0.250 0.750
Au 0.250 0.750 0.250
Au 0.750 0.250 0.250
Au 0.750 0.750 0.750

Calculated values
- Magnetization: 0.01 μB per atom
- ΔE to the lowest computed polymorph: 0.000 eV per atom

***

Here is a relaxed HoAsPbO crystal from OQMD via LeMat-Bulk. Energies are from GGA-PBE.

Cell: 4.632 4.632 8.655 Å, 90.00 90.00 90.00°
Element x y z (fractional)
Ho 0.250 0.750 0.000
Ho 0.750 0.250 0.000
As 0.250 0.250 0.179
As 0.750 0.750 0.821
Pb 0.250 0.250 0.601
Pb 0.750 0.750 0.399
O 0.250 0.750 0.500
O 0.750 0.250 0.500

Calculated values
- Magnetization: 0.00 μB per atom
- ΔE to the lowest computed polymorph: 0.664 eV per atom

***

Here is a relaxed MgGaGeIr crystal from OQMD via LeMat-Bulk. Energies are from GGA-PBE.

Cell: 6.310 6.310 6.310 Å, 90.00 90.00 90.00°
Element x y z (fractional)
Mg 0.000 0.000 0.000
Mg 0.000 0.500 0.500
Mg 0.500 0.000 0.500
Mg 0.500 0.500 0.000
Ga 0.250 0.250 0.750
Ga 0.250 0.750 0.250
Ga 0.750 0.250 0.250
Ga 0.750 0.750 0.750
Ge 0.250 0.250 0.250
Ge 0.250 0.750 0.750
Ge 0.750 0.250 0.750
Ge 0.750 0.750 0.250
Ir 0.000 0.000 0.500
Ir 0.000 0.500 0.000
Ir 0.500 0.000 0.000
Ir 0.500 0.500 0.500

Calculated values
- Magnetization: 0.00 μB per atom
- ΔE to the lowest computed polymorph: 0.000 eV per atom

***

Here is a relaxed Nd3GaNiSe7 crystal from OQMD via LeMat-Bulk. Energies are from GGA-PBE.

Cell: 10.259 10.259 6.575 Å, 90.00 90.00 120.00°
Element x y z (fractional)
Nd 0.160 0.375 0.000
Nd 0.215 0.840 0.000
Nd 0.375 0.215 0.500
Nd 0.625 0.785 0.000
Nd 0.785 0.160 0.500
Nd 0.840 0.625 0.500
Ga 0.333 0.667 0.580
Ga 0.667 0.333 0.080
Ni 0.000 0.000 0.175
Ni 0.000 0.000 0.675
Se 0.084 0.562 0.727
Se 0.100 0.229 0.411
Se 0.129 0.900 0.411
Se 0.229 0.129 0.911
Se 0.333 0.667 0.214
Se 0.438 0.522 0.727
Se 0.478 0.916 0.727
Se 0.522 0.084 0.227
Se 0.562 0.478 0.227
Se 0.667 0.333 0.714
Se 0.771 0.871 0.411
Se 0.871 0.100 0.911
Se 0.900 0.771 0.911
Se 0.916 0.438 0.227

Calculated values
- Magnetization: 0.17 μB per atom
- Final energy: -0.1934 hartree per atom

***

Here is a relaxed ErLuS2Cl2 crystal from OQMD via LeMat-Bulk. Energies are from GGA-PBE.

Cell: 3.904 5.284 8.201 Å, 90.00 90.00 90.00°
Element x y z (fractional)
Er 0.000 0.000 0.000
Lu 0.500 0.500 0.275
S 0.000 0.500 0.050
S 0.500 0.000 0.231
Cl 0.000 0.500 0.486
Cl 0.500 0.000 0.784

Calculated values
- Magnetization: 0.00 μB per atom
- Final energy: -0.2090 hartree per atom

***

Here is a relaxed Gd2TmNiIr2Pb3 crystal from OQMD via LeMat-Bulk. Energies are from GGA-PBE.

Cell: 3.779 7.736 7.736 Å, 119.74 90.00 90.00°
Element x y z (fractional)
Gd 0.000 0.204 0.796
Gd 0.000 0.796 0.204
Tm 0.000 0.387 0.387
Ni 0.000 0.794 0.794
Ir 0.500 0.133 0.461
Ir 0.500 0.461 0.133
Pb 0.500 0.054 0.054
Pb 0.500 0.538 0.795
Pb 0.500 0.795 0.538

Calculated values
- Magnetization: 0.00 μB per atom
- Final energy: -0.2168 hartree per atom

***

Here is a relaxed Li2Mg2Zn2NiPt crystal from OQMD via LeMat-Bulk. Energies are from GGA-PBE.

Cell: 4.349 4.349 6.149 Å, 90.00 90.00 90.00°
Element x y z (fractional)
Li 0.000 0.000 0.000
Li 0.500 0.500 0.500
Mg 0.000 0.500 0.742
Mg 0.500 0.000 0.258
Zn 0.000 0.500 0.262
Zn 0.500 0.000 0.738
Ni 0.000 0.000 0.500
Pt 0.500 0.500 0.000

Calculated values
- Magnetization: 0.00 μB per atom
- Final energy: -0.1116 hartree per atom